4
Lattice="-1.912 -5.450 -2.402 -2.655 -4.171 3.832 -0.211 5.729 -2.502" Properties=species:S:1:pos:R:3 comment="MgZnPb2 GGA-PBE relaxed" sg=Imm2 formation_enthalpy_0k_ev_per_atom=0.0547 total_magnetization_mub_per_atom=0.000 e_tot_ev_per_atom=-2.517 e_above_lowest_polymorph_mev_per_atom=45 pbc="T T T"
Mg -2.079 -2.003 -2.133
Pb -4.528 -9.538 1.418
Zn -2.340 -4.930 0.733
Pb -2.682 -1.852 1.056

=====

6
Lattice="-3.610 -1.407 -5.275 -0.379 -2.437 -6.063 -1.921 -7.125 1.436" Properties=species:S:1:pos:R:3 comment="Cd2Cl GGA-PBE relaxed" sg=Cm total_magnetization_mub_per_atom=0.000 e_tot_ev_per_atom=-1.614 formation_energy_uncorrected_mev_per_atom=-388 pbc="T T T"
Cd -1.855 -4.303 -1.986
Cd -4.216 -8.272 -6.479
Cl -4.394 -6.237 -9.869
Cd -0.052 -0.172 0.013
Cd -3.010 -4.099 -6.986
Cl -3.218 -7.994 -2.750

=====

12
Lattice="5.121 0.000 0.000 0.000 5.288 -0.033 0.000 0.042 11.240" Properties=species:S:1:pos:R:3 comment="Li2Tm3Mg7 GGA-PBE relaxed" sg=P2/m formation_enthalpy_0k_ev_per_atom=0.1301 total_magnetization_mub_per_atom=0.000 e_tot_ev_per_atom=-2.237 e_above_lowest_polymorph_mev_per_atom=125 pbc="T T T"
Mg 0.000 2.673 9.376
Mg 0.000 0.000 0.000
Mg 0.000 2.657 1.832
Mg 2.560 5.317 9.324
Tm 0.000 0.023 3.879
Li 2.560 2.666 8.069
Li 2.560 2.664 3.139
Tm 2.560 2.644 -0.016
Mg 2.560 0.013 1.883
Mg 2.560 4.019 5.600
Mg 2.560 1.311 5.607
Tm 0.000 5.307 7.328

=====

4
Lattice="-3.586 -4.342 1.452 1.788 0.064 -4.608 1.108 -2.413 0.381" Properties=species:S:1:pos:R:3 comment="ZnCr2Hg GGA-PBE relaxed" sg=C2/m formation_enthalpy_0k_ev_per_atom=0.6118 total_magnetization_mub_per_atom=0.154 e_tot_ev_per_atom=-4.594 e_above_lowest_polymorph_mev_per_atom=362 pbc="T T T"
Hg 1.448 -1.174 -2.113
Zn -0.899 -2.139 -1.578
Cr 0.000 0.000 0.000
Cr -1.239 -3.378 0.917